Entry 1:
# K4ReAs SCAN single point on PBEsol structure
data_K4ReAs
_chemical_formula_sum 'K16 Re4 As4'
_cell_length_a 9.067
_cell_length_b 9.067
_cell_length_c 9.067
_cell_angle_alpha 90.00
_cell_angle_beta 90.00
_cell_angle_gamma 90.00
_space_group_name_H-M_alt 'F -4 3 m'
_space_group_IT_number 216
_space_group_name_Hall 'F -4 2 3'
loop_
_atom_site_label
_atom_site_type_symbol
_atom_site_fract_x
_atom_site_fract_y
_atom_site_fract_z
_atom_site_occupancy
K1 K 0.124 0.124 0.124 1
Re1 Re 0.000 0.000 0.500 1
As1 As 0.250 0.250 0.750 1
# - electronic total energy (eV per atom) = -19.50

---

Entry 2:
# Ba3Ti3O8 SCAN single point on PBEsol structure
data_Ba3Ti3O8
_chemical_formula_sum 'Ba6 Ti6 O16'
_cell_length_a 9.948
_cell_length_b 5.614
_cell_length_c 6.943
_cell_angle_alpha 90.00
_cell_angle_beta 91.64
_cell_angle_gamma 90.00
_space_group_name_H-M_alt 'C 1 2/m 1'
_space_group_IT_number 12
loop_
_space_group_symop_operation_xyz
'x,y,z'
'-x,-y,-z'
'-x,y,-z'
'x,-y,z'
'x+1/2,y+1/2,z'
'-x+1/2,-y+1/2,-z'
'-x+1/2,y+1/2,-z'
'x+1/2,-y+1/2,z'
loop_
_atom_site_label
_atom_site_type_symbol
_atom_site_fract_x
_atom_site_fract_y
_atom_site_fract_z
_atom_site_occupancy
Ba1 Ba 0.000 0.000 0.000 1
Ba2 Ba 0.165 0.500 0.332 1
Ti1 Ti 0.000 0.000 0.500 1
Ti2 Ti 0.182 0.500 0.816 1
O1 O 0.082 0.254 0.672 1
O2 O 0.166 0.000 0.340 1
O3 O 0.250 0.250 0.000 1
# - energy relative to the elements, uncorrected (eV per atom) = -3.2198

---

Entry 3:
# GaAgSnSe4 SCAN single point on PBEsol structure
data_GaAgSnSe4
_chemical_formula_sum 'Ga2 Ag2 Sn2 Se8'
_cell_length_a 5.785
_cell_length_b 5.785
_cell_length_c 10.891
_cell_angle_alpha 90.00
_cell_angle_beta 90.00
_cell_angle_gamma 90.00
_space_group_name_H-M_alt 'I -4'
_space_group_IT_number 82
loop_
_space_group_symop_operation_xyz
'x,y,z'
'y,-x,-z'
'-x,-y,z'
'-y,x,-z'
'x+1/2,y+1/2,z+1/2'
'y+1/2,-x+1/2,-z+1/2'
'-x+1/2,-y+1/2,z+1/2'
'-y+1/2,x+1/2,-z+1/2'
loop_
_atom_site_label
_atom_site_type_symbol
_atom_site_fract_x
_atom_site_fract_y
_atom_site_fract_z
_atom_site_occupancy
Ga1 Ga 0.000 0.000 0.000 1
Ag1 Ag 0.000 0.500 0.750 1
Sn1 Sn 0.000 0.500 0.250 1
Se1 Se 0.235 0.759 0.394 1
# - energy relative to the elements, uncorrected (eV per atom) = -0.4287

---

Entry 4:
# SrInN2F SCAN single point on PBEsol structure
data_SrInN2F
_chemical_formula_sum 'Sr1 In1 N2 F1'
_cell_length_a 4.143
_cell_length_b 4.143
_cell_length_c 4.430
_cell_angle_alpha 90.00
_cell_angle_beta 90.00
_cell_angle_gamma 90.00
_space_group_name_H-M_alt 'P 4/m m m'
_space_group_IT_number 123
_space_group_name_Hall '-P 4 2'
loop_
_atom_site_label
_atom_site_type_symbol
_atom_site_fract_x
_atom_site_fract_y
_atom_site_fract_z
_atom_site_occupancy
Sr1 Sr 0.000 0.000 0.000 1
In1 In 0.500 0.500 0.500 1
N1 N 0.000 0.500 0.500 1
F1 F 0.500 0.500 0.000 1
# - energy relative to the elements, uncorrected (eV per atom) = -0.6575